No. 1
# Ac3Zn5H12

A relaxed Ac3Zn5H12 crystal (PBE, the Alexandria database).

Unit cell a=13.2010 b=13.2010 c=13.2010 alpha=90.00 beta=90.00 gamma=90.00
Space group Ia-3d (No. 230)
Symmetry-distinct sites (fractional):
Ac: 0.0000 0.2500 0.1250 [24 per cell]
Zn: 0.0000 0.0000 0.0000 [16 per cell]
Zn: 0.0000 0.2500 0.3750 [24 per cell]
H: 0.0426 0.0715 0.6854 [96 per cell]

Summary:
- uncorrected energy (eV per atom) = -3.083

=====

No. 2
# Ac3Zr5H12

A relaxed Ac3Zr5H12 crystal (PBE, the Alexandria database).

Unit cell a=13.0715 b=13.0715 c=13.0715 alpha=90.00 beta=90.00 gamma=90.00
Space group Ia-3d (No. 230)
Symmetry-distinct sites (fractional):
Ac: 0.0000 0.2500 0.1250 [24 per cell]
Zr: 0.0000 0.0000 0.0000 [16 per cell]
Zr: 0.0000 0.2500 0.3750 [24 per cell]
H: 0.0231 0.0589 0.6452 [96 per cell]

Summary:
- uncorrected energy (eV per atom) = -5.076

=====

No. 3
# Ac2ZrH

A relaxed Ac2ZrH crystal (PBE, the Alexandria database).

Unit cell a=3.5812 b=3.5812 c=29.5815 alpha=90.00 beta=90.00 gamma=120.00
Space group R-3m (No. 166, hexagonal axes)
Symmetry-distinct sites (fractional):
Ac: 0.0000 0.0000 0.1103 [6 per cell]
Zr: 0.0000 0.0000 0.0000 [3 per cell]
H: 0.0000 0.0000 0.5000 [3 per cell]

Summary:
- uncorrected energy (eV per atom) = -4.679

=====

No. 4
# AcHf3

A relaxed AcHf3 crystal (PBE, the Alexandria database).

Unit cell a=3.2906 b=5.2933 c=6.1633 alpha=90.00 beta=90.00 gamma=90.00
Space group Pmm2 (No. 25)
Symmetry-distinct sites (fractional):
Ac: 0.0000 0.0000 0.0000 [1 per cell]
Hf: 0.0000 0.5000 0.6618 [1 per cell]
Hf: 0.5000 0.0000 0.4999 [1 per cell]
Hf: 0.5000 0.5000 0.2485 [1 per cell]

Summary:
- E_form (meV/atom) = 325
- uncorrected energy (eV per atom) = -8.167

=====

No. 5
# Ac4Hf

A relaxed Ac4Hf crystal (PBE, the Alexandria database).

Unit cell a=6.1490 b=6.1490 c=6.1490 alpha=90.00 beta=90.00 gamma=90.00
Space group Pm-3m (No. 221)
Symmetry-distinct sites (fractional):
Ac: 0.0000 0.0000 0.0000 [1 per cell]
Ac: 0.0000 0.5000 0.5000 [3 per cell]
Hf: 0.5000 0.5000 0.5000 [1 per cell]

Summary:
- E_form (meV/atom) = 551
- uncorrected energy (eV per atom) = -4.727

=====

No. 6
# Ac2HfHgO6

A relaxed Ac2HfHgO6 crystal (PBE, the Alexandria database).

Unit cell a=5.6639 b=5.6639 c=5.4462 alpha=90.00 beta=90.00 gamma=90.00
Space group P4mm (No. 99)
Symmetry-distinct sites (fractional):
Ac: 0.0000 0.5000 0.0000 [2 per cell]
Hf: 0.0000 0.0000 0.5902 [1 per cell]
Hg: 0.5000 0.5000 0.5247 [1 per cell]
O: 0.0000 0.0000 0.2253 [1 per cell]
O: 0.2351 0.2351 0.7353 [4 per cell]
O: 0.5000 0.5000 0.1335 [1 per cell]

Summary:
- formation energy without anion corrections (eV/f.u.) = -26.99
- uncorrected energy (eV per atom) = -7.521

=====

No. 7
# Ac2HoHf

A relaxed Ac2HoHf crystal (PBE, the Alexandria database).

Unit cell a=3.5632 b=3.5632 c=37.7977 alpha=90.00 beta=90.00 gamma=120.00
Space group R-3m (No. 166, hexagonal axes)
Symmetry-distinct sites (fractional):
Ac: 0.0000 0.0000 0.0847 [6 per cell]
Ho: 0.0000 0.0000 0.5000 [3 per cell]
Hf: 0.0000 0.0000 0.0000 [3 per cell]

Summary:
- E_form (meV/atom) = 546
- uncorrected energy (eV per atom) = -5.141

=====

No. 8
# Ac5Ho12Hf3

A relaxed Ac5Ho12Hf3 crystal (PBE, the Alexandria database).

Unit cell a=18.8318 b=18.8318 c=18.8318 alpha=90.00 beta=90.00 gamma=90.00
Space group Ia-3d (No. 230)
Symmetry-distinct sites (fractional):
Ac: 0.0000 0.0000 0.0000 [16 per cell]
Ac: 0.0000 0.2500 0.3750 [24 per cell]
Ho: 0.0027 0.0924 0.6475 [96 per cell]
Hf: 0.0000 0.2500 0.1250 [24 per cell]

Summary:
- E_form (meV/atom) = 1068
- uncorrected energy (eV per atom) = -4.199

=====

No. 9
# AcHo2Hf

A relaxed AcHo2Hf crystal (PBE, the Alexandria database).

Unit cell a=3.4585 b=3.4585 c=36.6696 alpha=90.00 beta=90.00 gamma=120.00
Space group R-3m (No. 166, hexagonal axes)
Symmetry-distinct sites (fractional):
Ac: 0.0000 0.0000 0.0000 [3 per cell]
Ho: 0.0000 0.0000 0.4161 [6 per cell]
Hf: 0.0000 0.0000 0.5000 [3 per cell]

Summary:
- E_form (meV/atom) = 506
- uncorrected energy (eV per atom) = -5.298
- distance to the lowest polymorph of the same formula (eV/atom) = 0.2744

=====

No. 10
# AcHo2Hf

A relaxed AcHo2Hf crystal (PBE, the Alexandria database).

Unit cell a=3.9850 b=3.9850 c=8.0557 alpha=90.00 beta=90.00 gamma=90.00
Space group P4/mmm (No. 123)
Symmetry-distinct sites (fractional):
Ac: 0.0000 0.0000 0.0000 [1 per cell]
Ho: 0.5000 0.5000 0.2992 [2 per cell]
Hf: 0.0000 0.0000 0.5000 [1 per cell]

Summary:
- E_form (meV/atom) = 232
- uncorrected energy (eV per atom) = -5.573
- distance to the lowest polymorph of the same formula (eV/atom) = 0.0000

=====

No. 11
# Ac2HoHfS6

A relaxed Ac2HoHfS6 crystal (PBE, the Alexandria database).

Unit cell a=10.1134 b=10.3514 c=6.9590 alpha=90.00 beta=133.32 gamma=90.00
Space group Cm (No. 8)
Symmetry-distinct sites (fractional):
Ac: 0.0000 0.2170 0.0000 [4 per cell]
Ho: 0.4223 0.0000 0.5026 [2 per cell]
Hf: 0.3993 0.5000 0.4724 [2 per cell]
S: 0.0876 0.5000 0.0086 [2 per cell]
S: 0.0964 0.0000 0.3700 [2 per cell]
S: 0.1914 0.0000 0.9698 [2 per cell]
S: 0.2435 0.5000 0.6463 [2 per cell]
S: 0.4036 0.2558 0.4763 [4 per cell]

Summary:
- formation energy without anion corrections (eV/f.u.) = -18.88
- uncorrected energy (eV per atom) = -6.640

=====

No. 12
# AcHfI

A relaxed AcHfI crystal (PBE, the Alexandria database).

Unit cell a=3.8377 b=6.5194 c=8.1909 alpha=75.88 beta=76.45 gamma=72.97
Space group P-1 (No. 2)
Symmetry-distinct sites (fractional):
Ac: 0.0745 0.1666 0.1834 [2 per cell]
Hf: 0.3661 0.2359 0.5315 [2 per cell]
I: 0.3377 0.6213 0.2044 [2 per cell]

Summary:
- formation energy without anion corrections (eV/f.u.) = -0.40
- uncorrected energy (eV per atom) = -5.339

=====

No. 13
# AcHfIn2

A relaxed AcHfIn2 crystal (PBE, the Alexandria database).

Unit cell a=3.8472 b=3.8472 c=7.4722 alpha=90.00 beta=90.00 gamma=90.00
Space group P4/mmm (No. 123)
Symmetry-distinct sites (fractional):
Ac: 0.0000 0.0000 0.0000 [1 per cell]
Hf: 0.0000 0.0000 0.5000 [1 per cell]
In: 0.5000 0.5000 0.2973 [2 per cell]

Summary:
- E_form (meV/atom) = -145
- uncorrected energy (eV per atom) = -5.030

=====

No. 14
# AcHfIn

A relaxed AcHfIn crystal (PBE, the Alexandria database).

Unit cell a=16.5863 b=3.5017 c=6.0649 alpha=90.00 beta=90.00 gamma=90.00
Space group Amm2 (No. 38)
Symmetry-distinct sites (fractional):
Ac: 0.1845 0.0000 0.0000 [4 per cell]
Hf: 0.3532 0.0000 0.3336 [4 per cell]
In: 0.0000 0.0000 0.3327 [2 per cell]
In: 0.5000 0.0000 0.0004 [2 per cell]

Summary:
- E_form (meV/atom) = 168
- uncorrected energy (eV per atom) = -5.432

=====

No. 15
# AcHfIn2

A relaxed AcHfIn2 crystal (PBE, the Alexandria database).

Unit cell a=3.5296 b=3.5296 c=31.3686 alpha=90.00 beta=90.00 gamma=120.00
Space group R-3m (No. 166, hexagonal axes)
Symmetry-distinct sites (fractional):
Ac: 0.0000 0.0000 0.0000 [3 per cell]
Hf: 0.0000 0.0000 0.5000 [3 per cell]
In: 0.0000 0.0000 0.2405 [6 per cell]

Summary:
- E_form (meV/atom) = 16
- uncorrected energy (eV per atom) = -4.869